1.
Density functional theory data (PBE) for an optimized crystal structure of Dy2HoSc4.

a = 3.6087 Å, b = 20.9389 Å, c = 5.2270 Å
α = 90.00°, β = 90.00°, γ = 90.00°
Closest atoms and distances in Å follow each position.
Space group Cmmm (No. 65)
Inequivalent atoms, fractional coordinates:
1 Dy 0.0000 0.0736 0.0000  1 Dy 3.08, 4 Sc 3.16-3.44
2 Ho 0.0000 0.5000 0.5000  8 Dy 3.53, 2 Ho 3.61
3 Sc 0.0000 0.1805 0.5000  6 Sc 3.20-3.42, 2 Dy 3.44
4 Sc 0.0000 0.3027 0.0000  2 Sc 2.85, 2 Dy 3.16

For the total moment, the calculation gives 0.0 μB per formula unit. The value obtained for the calculated volume is 394.97 Å³/cell. As for the energy relative to the lowest polymorph listed for this composition: 0.0 meV per atom.



2.
Density functional theory data (PBE) for an optimized crystal structure of DyHo12Sc7.

a = 14.6034 Å, b = 14.6034 Å, c = 9.5048 Å
α = 90.00°, β = 90.00°, γ = 120.00°
Closest atoms and distances in Å follow each position.
Space group R-3 (No. 148, hexagonal axes)
Inequivalent atoms, fractional coordinates:
1 Dy 0.0000 0.0000 0.0000  6 Sc 3.27, 6 Ho 3.52
2 Ho 0.0365 0.2559 0.5812  3 Sc 3.17-3.38, 3 Ho 3.24-3.52
3 Ho 0.0401 0.1901 0.2568  4 Sc 3.18-3.54, 3 Ho 3.24-3.52, 1 Dy 3.52
4 Sc 0.0000 0.0000 0.5000  12 Ho 3.43-3.58
5 Sc 0.0731 0.2467 0.9314  6 Ho 3.17-3.54, 3 Sc 3.23-3.46, 1 Dy 3.27

For the total moment, the calculation gives 4.8 μB per formula unit. The value obtained for the calculated volume is 1755.42 Å³/cell. As for the energy relative to the lowest polymorph listed for this composition: 0.0 meV per atom.



3.
Density functional theory data (PBE) for an optimized crystal structure of DyHo2Sc.

a = 3.4754 Å, b = 3.4754 Å, c = 33.6986 Å
α = 90.00°, β = 90.00°, γ = 120.00°
Closest atoms and distances in Å follow each position.
Space group R-3m (No. 166, hexagonal axes)
Inequivalent atoms, fractional coordinates:
1 Dy 0.0000 0.0000 0.0000  6 Dy 3.48, 6 Ho 3.53
2 Ho 0.0000 0.0000 0.2470  3 Sc 3.37, 6 Ho 3.48, 3 Dy 3.53
3 Sc 0.0000 0.0000 0.5000  6 Ho 3.37, 6 Sc 3.48

For the total moment, the calculation gives 0.0 μB per formula unit. The value obtained for the calculated volume is 352.49 Å³/cell. As for the energy relative to the lowest polymorph listed for this composition: 16.0 meV per atom.



4.
Density functional theory data (PBE) for an optimized crystal structure of Dy5Ho12Sc2.

a = 15.3178 Å, b = 9.0978 Å, c = 8.4764 Å
α = 90.00°, β = 92.39°, γ = 90.00°
Closest atoms and distances in Å follow each position.
Space group C2/m (No. 12)
Inequivalent atoms, fractional coordinates:
1 Dy 0.0000 0.0000 0.0000  10 Ho 3.33-3.71, 2 Dy 3.57
2 Dy 0.2049 0.5000 0.5250  8 Ho 3.47-3.63, 2 Sc 3.49, 1 Dy 3.54
3 Dy 0.2313 0.0000 0.0685  8 Ho 3.32-3.63, 2 Dy 3.54-3.57
4 Ho 0.0562 0.5000 0.8359  2 Sc 3.31, 2 Dy 3.32-3.55, 7 Ho 3.33-3.55
5 Ho 0.0731 0.0000 0.3753  3 Ho 3.14-3.38, 2 Dy 3.33-3.47, 2 Sc 3.41
6 Ho 0.1299 0.3066 0.1794  4 Dy 3.35-3.71, 5 Ho 3.35-3.55, 1 Sc 3.44
7 Ho 0.1467 0.1814 0.7354  1 Sc 3.25, 4 Ho 3.30-3.61, 4 Dy 3.47-3.64
8 Sc 0.0000 0.3323 0.5000  1 Sc 3.05, 6 Ho 3.25-3.41

For the total moment, the calculation gives 0.0 μB per formula unit. The value obtained for the calculated volume is 1180.24 Å³/cell. The total energy comes out at -4.65 eV/atom.



5.
Density functional theory data (PBE) for an optimized crystal structure of Dy4HoSc5.

a = 14.6661 Å, b = 5.3440 Å, c = 9.6774 Å
α = 90.00°, β = 129.42°, γ = 90.00°
Closest atoms and distances in Å follow each position.
Space group C2/m (No. 12)
Inequivalent atoms, fractional coordinates:
1 Dy 0.2463 0.0000 0.1304  3 Sc 2.98-3.15, 1 Ho 3.12
2 Dy 0.2476 0.5000 0.3717  4 Sc 3.41-3.51, 4 Dy 3.54-3.62
3 Ho 0.0000 0.5000 0.5000  2 Dy 3.12, 6 Sc 3.15-3.45
4 Sc 0.0000 0.0000 0.0000  2 Dy 2.98, 6 Sc 3.10-3.32
5 Sc 0.0516 0.0000 0.7117  3 Dy 3.14-3.51, 2 Ho 3.15, 4 Sc 3.24-3.35
6 Sc 0.0534 0.5000 0.9019  5 Sc 3.10-3.24, 2 Dy 3.15-3.41, 1 Ho 3.45

For the total moment, the calculation gives 0.0 μB per formula unit. The value obtained for the calculated volume is 585.92 Å³/cell. As for the energy relative to the lowest polymorph listed for this composition: 0.0 meV per atom.



6.
Density functional theory data (PBE) for an optimized crystal structure of Dy12Ho5Sc2.

a = 15.3804 Å, b = 9.0899 Å, c = 8.4860 Å
α = 90.00°, β = 92.36°, γ = 90.00°
Closest atoms and distances in Å follow each position.
Space group C2/m (No. 12)
Inequivalent atoms, fractional coordinates:
1 Dy 0.0566 0.0000 0.3368  2 Sc 3.32, 2 Ho 3.33-3.55, 7 Dy 3.33-3.55
2 Dy 0.0751 0.5000 0.8774  3 Dy 3.17-3.37, 2 Ho 3.36-3.47, 2 Sc 3.41
3 Dy 0.1296 0.1944 0.6799  4 Ho 3.34-3.71, 5 Dy 3.36-3.55, 1 Sc 3.44
4 Dy 0.1475 0.3181 0.2350  1 Sc 3.26, 4 Dy 3.31-3.59, 3 Ho 3.48-3.64
5 Ho 0.0000 0.5000 0.5000  10 Dy 3.36-3.71, 2 Ho 3.58
6 Ho 0.2036 0.0000 0.0251  8 Dy 3.47-3.64, 2 Sc 3.48, 1 Ho 3.55
7 Ho 0.2314 0.5000 0.5684  8 Dy 3.33-3.63, 2 Ho 3.55-3.58
8 Sc 0.0000 0.1676 0.0000  1 Sc 3.05, 4 Dy 3.26-3.32

For the total moment, the calculation gives 0.0 μB per formula unit. The value obtained for the calculated volume is 1185.39 Å³/cell. The total energy comes out at -4.66 eV/atom.



7.
Density functional theory data (PBE) for an optimized crystal structure of Dy2Ho5Sc.

a = 8.8161 Å, b = 8.8161 Å, c = 12.4463 Å
α = 90.00°, β = 90.00°, γ = 90.00°
Closest atoms and distances in Å follow each position.
Space group I4/mcm (No. 140)
Inequivalent atoms, fractional coordinates:
1 Dy 0.1423 0.3577 0.0000  8 Ho 3.28-3.39, 1 Dy 3.55
2 Ho 0.0000 0.0000 0.0000  2 Sc 3.11, 4 Dy 3.39
3 Ho 0.1528 0.3472 0.3347  3 Ho 3.21-3.42, 3 Dy 3.28-3.32, 2 Sc 3.51
4 Sc 0.0000 0.0000 0.2500  2 Ho 3.11

For the total moment, the calculation gives 0.0 μB per formula unit. The value obtained for the calculated volume is 967.38 Å³/cell. As for the energy relative to the lowest polymorph listed for this composition: 80.7 meV per atom.



8.
Density functional theory data (PBE) for an optimized crystal structure of Dy4Ho4Sc3.

a = 3.4061 Å, b = 5.4613 Å, c = 17.5964 Å
α = 81.12°, β = 84.46°, γ = 90.00°
Closest atoms and distances in Å follow each position.
Space group P-1 (No. 2)
Inequivalent atoms, fractional coordinates:
1 Dy 0.0451 0.0447 0.4088  2 Ho 3.12, 3 Dy 3.16-3.41
2 Dy 0.1776 0.6786 0.1429  3 Ho 3.09-3.29, 2 Dy 3.41
3 Ho 0.0887 0.5881 0.3215  3 Dy 3.09-3.12, 2 Ho 3.41
4 Ho 0.2320 0.2318 0.0365  4 Dy 3.29-3.54, 6 Ho 3.41-3.46
5 Sc 0.3655 0.8653 0.7705  2 Sc 3.41, 6 Dy 3.54-3.55, 6 Ho 3.59-3.75
6 Sc 0.5000 0.5000 0.5000  2 Sc 3.41, 4 Ho 3.53, 8 Dy 3.58-3.59

For the total moment, the calculation gives 0.0 μB per formula unit. The value obtained for the calculated volume is 321.85 Å³/cell. The total energy comes out at -4.97 eV/atom.